Compound: Pm3Hg2Au7
Source: Alexandria via LeMat-Bulk
Functional: PBE
Structure: relaxed

Properties
Its total magnetization is 0.0 Bohr magnetons per cell. Its energy of formation from the pure elements is -0.48 eV per atom. The symmetry is Cmmm, No. 65.

abc: 3.907 4.680 15.379
angles: 98.75 90.00 90.00
Atoms (fractional coordinates):
Au 0.500 0.931 0.863
Au 0.500 0.069 0.137
Pm 0.500 0.311 0.623
Hg 0.000 0.863 0.727
Pm 0.500 0.689 0.377
Au 0.000 0.582 0.164
Hg 0.000 0.137 0.273
Au 0.000 0.773 0.546
Au 0.000 0.418 0.836
Au 0.000 0.227 0.454
Au 0.000 0.000 0.000
Pm 0.500 0.500 0.000

Compound: Pm3Hg2Au
Source: Alexandria via LeMat-Bulk
Functional: PBE
Structure: relaxed

Properties
Its total magnetization is 0.2 Bohr magnetons per cell. Its energy of formation from the pure elements is -0.58 eV per atom. The symmetry is P4/mmm, No. 123.

abc: 3.759 3.759 11.396
angles: 90.00 90.00 90.00
Last column: magnetic moment on the atom in μB.
Atoms (fractional coordinates):
Pm 0.000 0.000 0.656  0.01
Hg 0.500 0.500 0.167  0.00
Au 0.500 0.500 0.500  0.00
Pm 0.000 0.000 0.000  0.09
Pm 0.000 0.000 0.344  0.01
Hg 0.500 0.500 0.833  0.00

Compound: Pm6Hg8Au
Source: Alexandria via LeMat-Bulk
Functional: PBE
Structure: relaxed

Properties
Its total magnetization is 0.0 Bohr magnetons per cell. Its energy of formation from the pure elements is -0.37 eV per atom. The symmetry is R-3, No. 148.

abc: 8.306 8.306 8.306
angles: 63.89 63.89 63.89
Atoms (fractional coordinates):
Hg 0.643 0.643 0.643
Pm 0.594 0.231 0.987
Hg 0.263 0.558 0.831
Pm 0.987 0.594 0.231
Hg 0.169 0.737 0.442
Hg 0.737 0.442 0.169
Hg 0.831 0.263 0.558
Pm 0.231 0.987 0.594
Hg 0.357 0.357 0.357
Pm 0.769 0.013 0.406
Pm 0.406 0.769 0.013
Au 0.000 0.000 0.000
Pm 0.013 0.406 0.769
Hg 0.558 0.831 0.263
Hg 0.442 0.169 0.737

Compound: Pm4Hg2Au
Source: Alexandria via LeMat-Bulk
Functional: PBE
Structure: relaxed

Properties
Its total magnetization is 0.0 Bohr magnetons per cell. Its energy of formation from the pure elements is -0.40 eV per atom. The symmetry is R-3m, No. 166.

abc: 5.273 5.273 9.157
angles: 73.27 73.27 60.00
Atoms (fractional coordinates):
Pm 0.374 0.374 0.878
Pm 0.626 0.626 0.122
Hg 0.755 0.755 0.734
Hg 0.245 0.245 0.266
Au 0.000 0.000 0.000
Pm 0.123 0.123 0.630
Pm 0.877 0.877 0.370

Compound: PmHgAu
Source: Alexandria via LeMat-Bulk
Functional: PBE
Structure: relaxed

Properties
Its total magnetization is 0.0 Bohr magnetons per cell. Its energy of formation from the pure elements is -0.46 eV per atom. The value obtained for the energy above the most stable polymorph in this dataset is 0.193 eV per atom. The symmetry is I4/mmm, No. 139.

abc: 4.028 4.028 10.243
angles: 101.34 101.34 90.00
Atoms (fractional coordinates):
Hg 0.215 0.215 0.429
Pm 0.379 0.379 0.759
Au 0.066 0.066 0.133
Au 0.934 0.934 0.867
Hg 0.785 0.785 0.571
Pm 0.621 0.621 0.241

Compound: PmHgAu2
Source: Alexandria via LeMat-Bulk
Functional: PBE
Structure: relaxed

Properties
Its total magnetization is 0.0 Bohr magnetons per cell. Its energy of formation from the pure elements is -0.41 eV per atom. The value obtained for the energy above the most stable polymorph in this dataset is 0.166 eV per atom. The symmetry is R3m, No. 160.

abc: 4.320 4.320 7.038
angles: 72.13 72.13 60.00
Atoms (fractional coordinates):
Pm 0.668 0.668 0.996
Hg 0.498 0.498 0.507
Au 0.088 0.088 0.737
Au 0.247 0.247 0.260

Compound: Pm8HgAu2
Source: Alexandria via LeMat-Bulk
Functional: PBE
Structure: relaxed

Properties
Its total magnetization is 0.0 Bohr magnetons per cell. Its energy of formation from the pure elements is -0.36 eV per atom. The value obtained for the energy above the most stable polymorph in this dataset is 0.000 eV per atom. The symmetry is C2/m, No. 12.

abc: 5.239 7.144 9.699
angles: 106.63 105.67 90.00
Atoms (fractional coordinates):
Au 0.821 0.267 0.642
Pm 0.671 0.986 0.343
Pm 0.198 0.336 0.397
Pm 0.974 0.232 0.947
Pm 0.026 0.768 0.053
Pm 0.592 0.469 0.184
Pm 0.329 0.014 0.657
Hg 0.500 0.000 0.000
Pm 0.802 0.664 0.603
Au 0.179 0.733 0.358
Pm 0.408 0.531 0.816

Compound: Pm3Hg3Au2
Source: Alexandria via LeMat-Bulk
Functional: PBE
Structure: relaxed

Properties
Its total magnetization is 0.0 Bohr magnetons per cell. Its energy of formation from the pure elements is -0.52 eV per atom. The value obtained for the energy above the most stable polymorph in this dataset is 0.092 eV per atom. The symmetry is C2/m, No. 12.

abc: 4.195 5.207 10.177
angles: 108.04 101.89 90.00
Atoms (fractional coordinates):
Pm 0.850 0.311 0.701
Pm 0.000 0.000 0.000
Au 0.762 0.717 0.524
Au 0.238 0.283 0.476
Hg 0.375 0.845 0.750
Pm 0.150 0.689 0.299
Hg 0.625 0.155 0.250
Hg 0.500 0.500 0.000

Compound: Pm4HgAu
Source: Alexandria via LeMat-Bulk
Functional: PBE
Structure: relaxed

Properties
Its total magnetization is 0.0 Bohr magnetons per cell. Its energy of formation from the pure elements is -0.23 eV per atom. The symmetry is P2_1/c, No. 14.

abc: 6.970 7.747 7.421
angles: 90.00 94.36 90.00
Atoms (fractional coordinates):
Pm 0.110 0.348 0.845
Au 0.500 0.000 0.500
Pm 0.169 0.837 0.660
Pm 0.669 0.663 0.660
Pm 0.831 0.163 0.340
Hg 0.500 0.500 0.000
Pm 0.390 0.848 0.155
Pm 0.610 0.152 0.845
Pm 0.331 0.337 0.340
Au 0.000 0.500 0.500
Pm 0.890 0.652 0.155
Hg 0.000 0.000 0.000

Compound: Pm4HgAu5
Source: Alexandria via LeMat-Bulk
Functional: PBE
Structure: relaxed

Properties
Its total magnetization is 0.0 Bohr magnetons per cell. Its energy of formation from the pure elements is -0.67 eV per atom. The symmetry is P4/mmm, No. 123.

abc: 3.693 3.693 17.910
angles: 90.00 90.00 90.00
Atoms (fractional coordinates):
Au 0.500 0.500 0.905
Hg 0.000 0.000 0.000
Pm 0.000 0.000 0.814
Pm 0.000 0.000 0.396
Au 0.500 0.500 0.095
Pm 0.000 0.000 0.604
Au 0.500 0.500 0.296
Au 0.500 0.500 0.500
Pm 0.000 0.000 0.186
Au 0.500 0.500 0.704

Compound: PmHgAu
Source: Alexandria via LeMat-Bulk
Functional: PBE
Structure: relaxed

Properties
Its total magnetization is 0.0 Bohr magnetons per cell. Its energy of formation from the pure elements is -0.60 eV per atom. The value obtained for the energy above the most stable polymorph in this dataset is 0.051 eV per atom. The symmetry is P-6m2, No. 187.

abc: 3.488 4.888 4.888
angles: 120.00 90.00 90.00
Atoms (fractional coordinates):
Pm 0.667 0.333 0.667
Au 0.167 0.000 0.000
Hg 0.166 0.667 0.333

Compound: Pm2Hg4Au
Source: Alexandria via LeMat-Bulk
Functional: PBE
Structure: relaxed

Properties
Its total magnetization is 0.0 Bohr magnetons per cell. Its energy of formation from the pure elements is -0.40 eV per atom. The symmetry is R-3m, No. 166.

abc: 5.251 5.251 7.996
angles: 70.83 70.83 60.00
Atoms (fractional coordinates):
Hg 0.426 0.426 0.723
Hg 0.868 0.868 0.397
Pm 0.276 0.276 0.171
Hg 0.574 0.574 0.277
Pm 0.724 0.724 0.829
Hg 0.132 0.132 0.603
Au 0.000 0.000 0.000

Compound: Pm3Hg2Au6
Source: Alexandria via LeMat-Bulk
Functional: PBE
Structure: relaxed

Properties
Its total magnetization is 0.0 Bohr magnetons per cell. Its energy of formation from the pure elements is -0.49 eV per atom. The symmetry is I4/mmm, No. 139.

abc: 4.245 4.245 14.749
angles: 98.27 98.27 90.00
Atoms (fractional coordinates):
Au 0.118 0.618 0.236
Au 0.882 0.382 0.764
Au 0.690 0.690 0.380
Au 0.618 0.118 0.236
Hg 0.550 0.550 0.101
Pm 0.000 0.000 0.000
Pm 0.202 0.202 0.405
Au 0.382 0.882 0.764
Hg 0.450 0.450 0.899
Au 0.310 0.310 0.620
Pm 0.798 0.798 0.595

Compound: PmHg3Au8
Source: Alexandria via LeMat-Bulk
Functional: PBE
Structure: relaxed

Properties
Its total magnetization is 0.0 Bohr magnetons per cell. Its energy of formation from the pure elements is -0.18 eV per atom. The symmetry is R3m, No. 160.

abc: 5.653 5.653 9.699
angles: 73.06 73.06 60.00
Atoms (fractional coordinates):
Au 0.438 0.438 0.188
Au 0.936 0.438 0.188
Au 0.688 0.688 0.937
Hg 0.375 0.375 0.874
Au 0.439 0.938 0.686
Hg 0.002 0.002 0.995
Au 0.438 0.936 0.188
Au 0.188 0.188 0.437
Hg 0.498 0.498 0.506
Au 0.938 0.439 0.686
Au 0.938 0.938 0.686
Pm 0.874 0.874 0.379

Compound: Pm5Hg4Au
Source: Alexandria via LeMat-Bulk
Functional: PBE
Structure: relaxed

Properties
Its total magnetization is 1.1 Bohr magnetons per cell. Its energy of formation from the pure elements is -0.54 eV per atom. The symmetry is P4/mmm, No. 123.

abc: 3.784 3.784 18.965
angles: 90.00 90.00 90.00
Last column: magnetic moment on the atom in μB.
Atoms (fractional coordinates):
Hg 0.000 0.000 0.602  0.02
Hg 0.000 0.000 0.802  0.01
Hg 0.000 0.000 0.398  0.02
Hg 0.000 0.000 0.198  0.01
Pm 0.500 0.500 0.703  0.16
Pm 0.500 0.500 0.297  0.16
Pm 0.500 0.500 0.907  0.03
Au 0.000 0.000 0.000  0.00
Pm 0.500 0.500 0.093  0.03
Pm 0.500 0.500 0.500  0.20

Compound: Pm2Hg3Au4
Source: Alexandria via LeMat-Bulk
Functional: PBE
Structure: relaxed

Properties
Its total magnetization is 0.0 Bohr magnetons per cell. Its energy of formation from the pure elements is -0.49 eV per atom. The symmetry is P-1, No. 2.

abc: 5.017 4.940 9.620
angles: 92.73 90.15 59.40
Atoms (fractional coordinates):
Pm 0.339 0.322 0.775
Au 0.669 0.661 0.909
Au 0.010 0.977 0.648
Hg 0.000 0.000 0.000
Au 0.331 0.339 0.091
Hg 0.324 0.352 0.414
Au 0.990 0.023 0.352
Pm 0.661 0.678 0.225
Hg 0.676 0.648 0.586

Compound: Pm2Hg3Au
Source: Alexandria via LeMat-Bulk
Functional: PBE
Structure: relaxed

Properties
Its total magnetization is 0.0 Bohr magnetons per cell. Its energy of formation from the pure elements is -0.52 eV per atom. The symmetry is Pmm2, No. 25.

abc: 3.493 4.953 8.595
angles: 90.00 90.00 90.00
Atoms (fractional coordinates):
Au 0.500 0.500 0.333
Pm 0.000 0.500 0.014
Hg 0.500 0.500 0.664
Hg 0.500 0.000 0.168
Hg 0.500 0.000 0.832
Pm 0.000 0.000 0.488

Compound: Pm4HgAu3
Source: Alexandria via LeMat-Bulk
Functional: PBE
Structure: relaxed

Properties
Its total magnetization is 0.0 Bohr magnetons per cell. Its energy of formation from the pure elements is -0.70 eV per atom. The value obtained for the energy above the most stable polymorph in this dataset is 0.014 eV per atom. The symmetry is Pmmm, No. 47.

abc: 3.717 5.270 10.524
angles: 90.00 90.00 90.00
Atoms (fractional coordinates):
Pm 0.000 0.500 0.742
Pm 0.000 0.000 0.500
Au 0.500 0.000 0.754
Au 0.500 0.500 0.500
Pm 0.000 0.000 0.000
Au 0.500 0.000 0.246
Pm 0.000 0.500 0.258
Hg 0.500 0.500 0.000

Compound: Pm2HgAu3
Source: Alexandria via LeMat-Bulk
Functional: PBE
Structure: relaxed

Properties
Its total magnetization is 0.0 Bohr magnetons per cell. Its energy of formation from the pure elements is -0.62 eV per atom. The value obtained for the energy above the most stable polymorph in this dataset is 0.060 eV per atom. The symmetry is Imm2, No. 44.

abc: 4.074 3.984 9.801
angles: 101.73 101.99 90.00
Atoms (fractional coordinates):
Au 0.556 0.556 0.111
Au 0.702 0.702 0.404
Pm 0.131 0.131 0.261
Hg 0.453 0.953 0.906
Pm 0.859 0.359 0.718
Au 0.300 0.800 0.599

Compound: Pm4HgAu2
Source: Alexandria via LeMat-Bulk
Functional: PBE
Structure: relaxed

Properties
Its total magnetization is 0.0 Bohr magnetons per cell. Its energy of formation from the pure elements is -0.51 eV per atom. The symmetry is R-3m, No. 166.

abc: 5.223 5.223 8.972
angles: 73.08 73.08 60.00
Atoms (fractional coordinates):
Au 0.751 0.751 0.747
Pm 0.620 0.620 0.140
Pm 0.128 0.128 0.616
Au 0.249 0.249 0.253
Hg 0.000 0.000 0.000
Pm 0.380 0.380 0.860
Pm 0.872 0.872 0.384